(1)
# MgCdPb2 | the Alexandria database | GGA-PBEsol | optimized geometry
# - Volume: 25.82 Å³ per atom
data_MgCdPb2
_chemical_formula_sum 'Mg1 Cd1 Pb2'
_symmetry_space_group_name_H-M 'P 4/m m m'
_symmetry_Int_Tables_number 123
_symmetry_space_group_name_Hall '-P 4 2'
_cell_length_a 3.727
_cell_length_b 3.727
_cell_length_c 7.435
_cell_angle_alpha 90.00
_cell_angle_beta 90.00
_cell_angle_gamma 90.00
loop_
_atom_site_label
_atom_site_fract_x
_atom_site_fract_y
_atom_site_fract_z
Mg1 0.000 0.000 0.000
Cd1 0.000 0.000 0.500
Pb1 0.500 0.500 0.248

---

(2)
# PrAl | the Alexandria database | GGA-PBEsol | optimized geometry
# - Volume: 25.51 Å³ per atom
data_PrAl
_chemical_formula_sum 'Pr1 Al1'
_symmetry_space_group_name_H-M 'P m -3 m'
_symmetry_Int_Tables_number 221
_symmetry_space_group_name_Hall '-P 4 2 3'
_cell_length_a 3.709
_cell_length_b 3.709
_cell_length_c 3.709
_cell_angle_alpha 90.00
_cell_angle_beta 90.00
_cell_angle_gamma 90.00
loop_
_atom_site_label
_atom_site_fract_x
_atom_site_fract_y
_atom_site_fract_z
Pr1 0.000 0.000 0.000
Al1 0.500 0.500 0.500

---

In the order shown, the computed total DFT energy (no corrections) values come out to -2.711 -4.974 eV per atom.
In the order shown, the computed energy of formation from the pure elements values come out to 0.02 -0.34 eV per atom.